No. 1
Na3Li3Mn2P2C2O14 PBE with a Hubbard U optimized geometry; density = 2.76 Mg/m³; space-group type = No. 1; distance to the lowest polymorph of the same formula = 6.2 meV/atom; electronic total energy = -6.76 eV per atom; volume = 306.5 Å³/cell
1.0
5.161 -0.023 -0.007
-0.020 6.765 0.136
0.142 0.215 8.783
Na Li Mn P C O
3 3 2 2 2 14
Cartesian
3.840 5.005 0.901
1.345 0.217 2.086
3.928 3.510 6.707
1.105 3.912 2.753
4.117 0.372 6.284
1.456 1.693 7.789
4.067 1.854 3.156
1.222 5.247 5.875
3.694 5.260 3.832
1.586 1.853 5.157
3.871 1.482 0.271
1.439 5.089 8.538
1.415 4.908 1.048
5.149 1.383 0.443
3.087 1.810 1.263
4.112 6.480 2.970
4.251 4.005 3.088
2.132 5.177 3.911
1.019 1.993 3.710
4.244 5.352 5.281
3.136 1.692 5.045
1.247 3.072 6.056
0.993 0.637 5.934
2.494 5.148 7.775
0.273 5.033 7.968
3.470 1.490 7.885

No. 2
Na3Li3Mn2P2C2O14 PBE with a Hubbard U optimized geometry; density = 2.73 Mg/m³; space-group type = No. 1; distance to the lowest polymorph of the same formula = 0.0 meV/atom; electronic total energy = -6.76 eV per atom; volume = 309.8 Å³/cell
1.0
5.198 -0.037 0.015
-0.151 6.767 -0.255
-0.152 -1.003 8.847
Na Li Mn P C O
3 3 2 2 2 14
Cartesian
3.438 0.142 8.036
1.103 2.873 6.674
3.781 2.940 2.032
0.910 -0.107 6.093
3.950 5.896 2.426
1.492 5.653 0.676
3.878 4.523 5.462
1.015 1.185 3.026
3.561 1.122 4.991
1.335 4.610 3.540
3.805 4.185 8.439
1.091 1.487 0.256
1.196 0.757 7.862
-0.119 4.192 8.253
3.004 4.473 7.432
4.101 -0.064 5.852
4.076 2.427 5.636
1.997 1.109 4.976
0.814 4.798 5.006
4.061 0.971 3.520
2.899 4.655 3.581
0.865 3.280 2.938
0.801 5.757 2.616
2.069 1.069 1.043
5.113 1.542 0.778
3.400 4.979 0.751

No. 3
NaLiMnPCO7 PBE with a Hubbard U optimized geometry; density = 2.65 Mg/m³; space-group type = No. 4; electronic total energy = -6.93 eV per atom; volume = 301.1 Å³/cell
1.0
-3.216 0.186 4.232
4.648 -2.403 3.638
2.958 8.217 1.649
Na Li Mn P C O
2 2 2 2 2 14
Cartesian
3.712 5.173 3.903
2.707 -0.223 7.204
6.003 4.475 5.738
0.118 0.630 5.135
3.004 3.588 7.147
1.587 2.308 2.529
0.658 4.109 4.887
3.917 1.795 4.777
3.841 6.033 7.247
0.379 0.055 2.138
2.810 7.206 3.363
3.070 5.352 8.099
4.311 5.318 6.276
-0.212 5.373 4.685
1.548 4.444 6.111
4.756 3.067 4.554
1.587 3.910 3.628
3.038 1.968 6.074
-0.173 2.833 5.115
4.810 0.539 4.947
2.999 1.456 3.578
-0.006 0.726 3.175
1.414 0.599 1.493
1.082 -0.949 5.766

No. 4
Na3Li3Mn2P2C2O14 PBE with a Hubbard U optimized geometry; density = 2.76 Mg/m³; space-group type = No. 1; distance to the lowest polymorph of the same formula = 11.6 meV/atom; electronic total energy = -6.75 eV per atom; volume = 306.4 Å³/cell
1.0
-0.132 -2.222 -4.717
6.653 -0.696 0.175
-1.083 -7.892 3.698
Na Li Mn P C O
3 3 2 2 2 14
Cartesian
1.659 -1.495 -0.896
6.242 -4.324 -2.439
3.835 -9.311 0.054
2.577 -4.453 -2.612
2.490 -6.631 2.011
5.504 -6.684 1.813
4.550 -3.769 0.351
0.822 -7.036 -1.173
1.155 -4.206 0.201
4.221 -6.647 -1.072
4.981 -1.346 -0.861
0.719 -9.467 -0.002
1.686 -2.696 -3.055
5.005 -1.399 0.432
4.817 -2.457 -1.525
0.018 -3.152 0.180
2.460 -3.384 0.422
1.211 -4.926 -1.187
4.282 -5.548 -2.169
0.948 -5.285 1.306
4.335 -5.954 0.322
2.914 -7.479 -1.188
5.362 -7.699 -1.244
0.641 -8.333 0.635
0.897 -9.448 -1.292
4.010 -8.101 2.203

No. 5
Na5LiMn2P2C2O14 PBE with a Hubbard U optimized geometry; density = 2.81 Mg/m³; space-group type = No. 6; electronic total energy = -6.70 eV per atom; volume = 320.2 Å³/cell
1.0
6.853 0.000 0.000
0.000 5.208 0.012
0.000 0.254 8.972
Na Li Mn P C O
5 1 2 2 2 14
Cartesian
1.679 4.067 6.702
5.174 4.067 6.702
5.114 1.432 2.337
1.740 1.432 2.337
3.427 4.036 0.792
0.000 1.411 8.000
3.427 1.331 5.783
0.000 4.165 3.291
0.000 1.642 5.325
3.427 3.859 3.732
3.427 1.682 8.449
0.000 3.720 0.441
0.000 3.406 8.245
3.427 0.482 7.947
3.427 2.701 7.633
1.234 1.222 6.177
5.619 1.222 6.177
0.000 3.193 5.145
3.427 4.491 5.147
0.000 0.997 3.909
3.427 2.301 3.893
4.678 4.283 2.903
2.176 4.283 2.903
0.000 2.958 1.508
0.000 5.014 0.564
3.427 1.617 0.758